Nd2Tm12Th: relaxed, GGA-PBE.

Unit cell a=6.586 b=6.586 c=24.470 alpha=83.34 beta=96.66 gamma=64.83
Sites, in units of the cell vectors:
Nd1 0.461 0.039 0.280
Nd2 0.961 0.539 0.280
Nd3 0.039 0.461 0.720
Nd4 0.539 0.961 0.720
Tm1 0.606 0.394 0.808
Tm2 0.106 0.894 0.808
Tm3 0.648 0.852 0.866
Tm4 0.450 0.550 0.934
Tm5 0.999 0.001 0.331
Tm6 0.050 0.950 0.066
Tm7 0.666 0.334 0.555
Tm8 0.499 0.501 0.331
Tm9 0.148 0.352 0.866
Tm10 0.852 0.648 0.134
Tm11 0.178 0.322 0.571
Tm12 0.834 0.166 0.445
Tm13 0.001 0.999 0.669
Tm14 0.322 0.178 0.429
Tm15 0.352 0.148 0.134
Tm16 0.822 0.678 0.429
Tm17 0.678 0.822 0.571
Tm18 0.894 0.106 0.192
Tm19 0.166 0.834 0.555
Tm20 0.501 0.499 0.669
Tm21 0.950 0.050 0.934
Tm22 0.394 0.606 0.192
Tm23 0.334 0.666 0.445
Tm24 0.550 0.450 0.066
Th1 0.500 0.000 0.000
Th2 0.000 0.500 0.000

For the total moment, the calculation gives 0.000 μB per atom. Its symmetry is P2/m, No. 10. As for the theoretical density: 9.0 Mg/m³. The calculation puts the total energy at -4.61 eV per atom. For the energy relative to the elements, the calculation gives 1.50 eV per formula unit.